[1]
A plane-wave DFT calculation with PBE-GGA was carried out for an optimized crystal structure of NaScCdC2.

As for the calculated density: 3.2 g/cm³. As for the total magnetic moment: 0.00 μB/cell. The space group is P4/mmm (123). The density of states at the Fermi level is 0.476 states/eV/atom. The value obtained for the energy relative to the elements is 138 kJ per mole of atoms.

Unit cell a=4.349 b=4.349 c=5.553 alpha=90.00 beta=90.00 gamma=90.00
Sites, in units of the cell vectors:
Na 0.000 0.000 0.000
Sc 0.500 0.500 0.500
Cd 0.500 0.500 0.000
C 0.000 0.500 0.500
C 0.500 0.000 0.500

=====

[2]
A plane-wave DFT calculation with PBE-GGA was carried out for an optimized crystal structure of NaSc2CdC.

As for the calculated density: 3.9 g/cm³. As for the total magnetic moment: 0.00 μB/cell. The space group is P4/mmm (123). The density of states at the Fermi level is 0.663 states/eV/atom. The value obtained for the energy relative to the elements is -5 kJ per mole of atoms.

Unit cell a=4.497 b=4.497 c=5.034 alpha=90.00 beta=90.00 gamma=90.00
Sites, in units of the cell vectors:
Na 0.000 0.000 0.000
Sc 0.000 0.500 0.500
Sc 0.500 0.000 0.500
Cd 0.500 0.500 0.000
C 0.000 0.000 0.500

=====

Table of volume (Å³ per cell), in record order: 105, 102
Table of VASP energy (eV/atom), in record order: -3.968, -4.872